Record 1
A relaxed structure of Li2Mg2CdAg2, computed with PBE.

Cell lengths 5.2211, 5.2211, 6.9318 Å; angles 96.56, 96.56, 43.52 degrees
Fractional positions:
Li: 0.2067 0.2067 0.1465
Li: 0.7933 0.7933 0.8535
Mg: 0.0798 0.0798 0.7025
Mg: 0.9202 0.9202 0.2975
Cd: 0.5000 0.5000 0.0000
Ag: 0.3581 0.3581 0.5828
Ag: 0.6419 0.6419 0.4172

The value obtained for the formation energy is -1.4 eV per formula unit. As for the total energy: -0.158 Ry/atom.



Record 2
A relaxed structure of LiMg5CdAg2, computed with PBE.

Cell lengths 8.5860, 8.5860, 8.5860 Å; angles 127.85, 127.85, 76.86 degrees
Fractional positions:
Li: 0.2500 0.7500 0.5000
Li: 0.7500 0.2500 0.5000
Mg: 0.0000 0.0000 0.0000
Mg: 0.0686 0.5686 0.9029
Mg: 0.1658 0.0686 0.5000
Mg: 0.3342 0.8342 0.9029
Mg: 0.4314 0.3342 0.5000
Mg: 0.5000 0.5000 0.0000
Mg: 0.5686 0.6658 0.5000
Mg: 0.6658 0.1658 0.0971
Mg: 0.8342 0.9314 0.5000
Mg: 0.9314 0.4314 0.0971
Cd: 0.2500 0.2500 0.0000
Cd: 0.7500 0.7500 0.0000
Ag: 0.1214 0.3786 0.5000
Ag: 0.3786 0.8786 0.2573
Ag: 0.6214 0.1214 0.7427
Ag: 0.8786 0.6214 0.5000

The value obtained for the formation energy is -0.1 eV per formula unit. As for the total energy: -0.136 Ry/atom.



Record 3
A relaxed structure of LiMnCdAg, computed with PBE.

Cell lengths 4.5873, 4.5873, 4.5873 Å; angles 60.00, 60.00, 60.00 degrees
Fractional positions:
Li: 0.0000 0.0000 0.0000
Mn: 0.5000 0.5000 0.5000
Cd: 0.7500 0.7500 0.7500
Ag: 0.2500 0.2500 0.2500

The value obtained for the formation energy is 0.2 eV per formula unit. As for the total energy: -0.269 Ry/atom.



Record 4
A relaxed structure of Na2Li2Cd5Ag, computed with PBE.

Cell lengths 11.2590, 11.2590, 3.5371 Å; angles 90.00, 90.00, 90.00 degrees
Fractional positions:
Na: 0.1764 0.3236 0.0000
Na: 0.3236 0.8236 0.0000
Na: 0.6764 0.1764 0.0000
Na: 0.8236 0.6764 0.0000
Li: 0.1298 0.6298 0.0000
Li: 0.3702 0.1298 0.0000
Li: 0.6298 0.8702 0.0000
Li: 0.8702 0.3702 0.0000
Cd: 0.0000 0.5000 0.5000
Cd: 0.0489 0.8023 0.5000
Cd: 0.1977 0.0489 0.5000
Cd: 0.3023 0.5489 0.5000
Cd: 0.4511 0.3023 0.5000
Cd: 0.5000 0.0000 0.5000
Cd: 0.5489 0.6977 0.5000
Cd: 0.6977 0.4511 0.5000
Cd: 0.8023 0.9511 0.5000
Cd: 0.9511 0.1977 0.5000
Ag: 0.0000 0.0000 0.0000
Ag: 0.5000 0.5000 0.0000

The value obtained for the formation energy is -1.0 eV per formula unit. As for the total energy: -0.109 Ry/atom.